Record 1
First-principles (PBE-GGA) data for a geometry-optimized RbHoPdF6 structure, as listed in Alexandria via LeMat-Bulk.

Lattice parameters (Å, degrees): 8.2419 7.7812 8.0366 118.95 120.85 90.00
With the nearest neighbours (Å) after each atom.
Atoms (fractional coordinates):
Rb 0.1739 0.4239 0.3479  1 F 2.76
Rb 0.8261 0.5761 0.6521  1 F 2.76
Pd 0.5000 0.0000 0.0000  6 F 2.17-2.22
Pd 0.5000 0.5000 0.0000  6 F 2.17-2.22
F 0.5835 0.3335 0.1670  2 Pd 2.17
F 0.5692 0.3275 0.7423  1 Ho 2.16, 1 Pd 2.22
F 0.4308 0.6725 0.2577  1 Ho 2.16, 1 Pd 2.22
F 0.1859 0.9359 0.3718  2 Ho 2.19
F 0.1731 0.9148 0.7423  1 Ho 2.16, 1 Pd 2.22
F 0.8269 0.6725 0.2577  1 Ho 2.16, 1 Pd 2.22
F 0.5692 0.9148 0.7423  1 Ho 2.16, 1 Pd 2.22
F 0.4308 0.0852 0.2577  1 Ho 2.16, 1 Pd 2.22
F 0.8269 0.0852 0.2577  1 Ho 2.16, 1 Pd 2.22
F 0.4165 0.6665 0.8330  2 Pd 2.17
F 0.8141 0.0641 0.6282  2 Ho 2.19
F 0.1731 0.3275 0.7423  1 Ho 2.16, 1 Pd 2.22
Ho 0.0000 0.0000 0.5000  6 F 2.16-2.19
Ho 0.5000 0.0000 0.5000  6 F 2.16-2.19

Properties
Energy relative to the elements, uncorrected (meV/atom): -2794
SG: Imma



Record 2
First-principles (PBE-GGA) data for a geometry-optimized PmHoF6 structure, as listed in Alexandria via LeMat-Bulk.

Lattice parameters (Å, degrees): 5.9158 5.9232 6.3319 62.08 62.04 59.93
With the nearest neighbours (Å) after each atom.
Atoms (fractional coordinates):
Pm 0.0000 0.0000 0.0000  6 F 2.27
F 0.8290 0.6600 0.2560  1 Ho 2.18, 1 Pm 2.27
F 0.7447 0.1715 0.7441  1 Ho 2.17, 1 Pm 2.27
F 0.6601 0.2551 0.2564  1 Ho 2.17, 1 Pm 2.27
F 0.3399 0.7449 0.7436  1 Ho 2.17, 1 Pm 2.27
F 0.1710 0.3400 0.7440  1 Ho 2.18, 1 Pm 2.27
F 0.2553 0.8285 0.2559  1 Ho 2.17, 1 Pm 2.27
Ho 0.5000 0.5000 0.5000  6 F 2.17-2.18

Properties
Energy relative to the elements, uncorrected (meV/atom): -4087
SG: P-1



Record 3
First-principles (PBE-GGA) data for a geometry-optimized PmHo2F11 structure, as listed in Alexandria via LeMat-Bulk.

Lattice parameters (Å, degrees): 8.3648 8.7347 8.7347 72.01 61.39 61.39
With the nearest neighbours (Å) after each atom.
Atoms (fractional coordinates):
F 0.5794 0.2089 0.0538  1 Ho 2.18, 1 Pm 2.36
F 0.7546 0.4669 0.8142  1 Ho 2.18, 1 Pm 2.35
F 0.5000 0.5000 0.5000  2 F 2.21, 2 Ho 2.34
F 0.1579 0.0538 0.2089  1 Ho 2.18, 1 Pm 2.36
F 0.8421 0.9462 0.7911  1 Ho 2.18, 1 Pm 2.36
F 0.0000 0.0000 0.0000  2 F 2.21, 2 Ho 2.34
F 0.5357 0.0331 0.6858  1 Ho 2.18, 1 Pm 2.35
F 0.2454 0.5331 0.1858  1 Ho 2.18, 1 Pm 2.35
F 0.9206 0.4462 0.2911  1 Ho 2.18, 1 Pm 2.36
F 0.1099 0.1961 0.8039  1 F 2.21, 2 Ho 2.24-2.28
F 0.4206 0.7911 0.9462  1 Ho 2.18, 1 Pm 2.36
F 0.0794 0.5538 0.7089  1 Ho 2.18, 1 Pm 2.36
F 0.0357 0.1858 0.5331  1 Ho 2.18, 1 Pm 2.35
F 0.3421 0.2911 0.4462  1 Ho 2.18, 1 Pm 2.36
F 0.2546 0.3142 0.9669  1 Ho 2.18, 1 Pm 2.35
F 0.3901 0.6961 0.3039  1 F 2.21, 2 Ho 2.24-2.28
F 0.7454 0.6858 0.0331  1 Ho 2.18, 1 Pm 2.35
F 0.6579 0.7089 0.5538  1 Ho 2.18, 1 Pm 2.36
F 0.8901 0.8039 0.1961  1 F 2.21, 2 Ho 2.24-2.28
F 0.4643 0.9669 0.3142  1 Ho 2.18, 1 Pm 2.35
F 0.6099 0.3039 0.6961  1 F 2.21, 2 Ho 2.24-2.28
F 0.9643 0.8142 0.4669  1 Ho 2.18, 1 Pm 2.35
Pm 0.2500 0.2500 0.2500  8 F 2.35-2.36
Pm 0.7500 0.7500 0.7500  8 F 2.35-2.36
Ho 0.3428 0.3112 0.6888  7 F 2.18-2.34
Ho 0.1572 0.8112 0.1888  7 F 2.18-2.34
Ho 0.6572 0.6888 0.3112  7 F 2.18-2.34
Ho 0.8428 0.1888 0.8112  7 F 2.18-2.34

Properties
Energy relative to the elements, uncorrected (meV/atom): -3453
SG: Ibam



no.,total magnetic moment (μB/f.u.)
1,2.0
2,0.0
3,2.1